(1)
Compound: YSnRh2
Source: the Alexandria database
Functional: GGA-PBE
Structure: relaxed

Results
Its density is 9166 kg/m³. The calculation puts the formation energy at -0.66 eV/atom. The value obtained for the energy is -6.9565 eV per atom. The density of states at the Fermi level is 0.590 states/eV/atom.

POSCAR file:
```
YSnRh2
1.0
-0.5898 2.3844 2.4011
-2.4842 1.3497 -1.9507
-4.2465 -3.8286 2.7589
Rh Sn Y
2 1 1
Direct
0.0000 0.0000 0.7298 Rh
0.0000 0.0000 0.2702 Rh
0.5000 0.5000 0.5000 Sn
0.5000 0.5000 0.0000 Y
```

(2)
Compound: Y2Sn3Rh4
Source: the Alexandria database
Functional: GGA-PBE
Structure: relaxed

Results
Its density is 8774 kg/m³. The calculation puts the formation energy at -0.75 eV/atom. The value obtained for the energy is -6.7867 eV per atom. The density of states at the Fermi level is 0.661 states/eV/atom.

POSCAR file:
```
Y2Sn3Rh4
1.0
6.0017 0.0000 0.0000
0.0000 7.3776 0.0000
-3.0009 0.0000 8.0832
Rh Sn Y
8 6 4
Direct
0.1701 0.9745 0.3401 Rh
0.8299 0.0255 0.6599 Rh
0.3198 0.2500 0.1396 Rh
0.3299 0.4745 0.6599 Rh
0.1802 0.7500 0.8604 Rh
0.8198 0.2500 0.1396 Rh
0.6802 0.7500 0.8604 Rh
0.6701 0.5255 0.3401 Rh
0.0000 0.0000 0.0000 Sn
0.9853 0.2500 0.4707 Sn
0.5147 0.7500 0.5293 Sn
0.5000 0.5000 0.0000 Sn
0.0147 0.7500 0.5293 Sn
0.4853 0.2500 0.4707 Sn
0.8976 0.4182 0.7952 Y
0.3976 0.0818 0.7952 Y
0.1024 0.5818 0.2048 Y
0.6024 0.9182 0.2048 Y
```

(3)
Compound: YSnRh2
Source: the Alexandria database
Functional: GGA-PBE
Structure: relaxed

Results
Its density is 8242 kg/m³. The calculation puts the formation energy at -0.29 eV/atom. The value obtained for the energy is -6.5837 eV per atom. The density of states at the Fermi level is 0.732 states/eV/atom.

POSCAR file:
```
YSnRh2
1.0
7.2796 0.0000 0.0000
0.0000 7.2796 0.0000
3.6398 3.6398 3.1435
Y Rh Sn
2 4 2
Direct
0.2500 0.7500 0.5000 Y
0.5000 0.5000 0.0000 Y
0.8750 0.8952 0.7500 Rh
0.1048 0.6250 0.2500 Rh
0.3750 0.3548 0.7500 Rh
0.6452 0.1250 0.2500 Rh
0.0000 0.0000 0.0000 Sn
0.7500 0.2500 0.5000 Sn
```

(4)
Compound: Y7Sn2Rh2
Source: the Alexandria database
Functional: GGA-PBE
Structure: relaxed

Results
Its density is 5559 kg/m³. The calculation puts the formation energy at -0.50 eV/atom. The value obtained for the energy is -6.6793 eV per atom. The density of states at the Fermi level is 0.901 states/eV/atom.

POSCAR file:
```
Y7Sn2Rh2
1.0
-2.6750 6.2400 -0.7323
-4.8657 -1.5028 4.9687
4.7868 0.5134 4.8429
Sn Y Rh
2 7 2
Direct
0.8183 0.5000 0.8183 Sn
0.1817 0.5000 0.1817 Sn
0.5000 0.2488 0.0000 Y
0.0000 0.0000 0.0000 Y
0.0000 0.7512 0.5000 Y
0.5000 0.7512 0.0000 Y
0.0000 0.2488 0.5000 Y
0.5000 0.7623 0.5000 Y
0.5000 0.2377 0.5000 Y
0.2851 0.0000 0.7149 Rh
0.7149 0.0000 0.2851 Rh
```

(5)
Compound: Y3SnRh
Source: the Alexandria database
Functional: GGA-PBE
Structure: relaxed

Results
Its density is 5892 kg/m³. The calculation puts the formation energy at -0.59 eV/atom. The value obtained for the energy is -6.7376 eV per atom. The density of states at the Fermi level is 0.741 states/eV/atom.

POSCAR file:
```
Y3SnRh
1.0
7.6061 -0.2493 -0.1864
0.2689 8.5619 -0.4391
0.2689 1.9975 8.3372
Y Sn Rh
12 4 4
Direct
0.2963 0.0694 0.4305 Y
0.0933 0.9723 0.8082 Y
0.7963 0.4305 0.0694 Y
0.4067 0.1918 0.0277 Y
0.0933 0.6918 0.5281 Y
0.5933 0.8082 0.9723 Y
0.4067 0.4719 0.3082 Y
0.9067 0.0277 0.1918 Y
0.9067 0.3082 0.4719 Y
0.7037 0.9306 0.5695 Y
0.2037 0.5695 0.9306 Y
0.5933 0.5281 0.6918 Y
0.2500 0.3298 0.6702 Sn
0.7500 0.1704 0.8296 Sn
0.2500 0.8296 0.1704 Sn
0.7500 0.6702 0.3298 Sn
0.3775 0.8049 0.6955 Rh
0.6225 0.1951 0.3045 Rh
0.1225 0.3045 0.1951 Rh
0.8775 0.6955 0.8049 Rh
```

(6)
Compound: Y5SnRh2
Source: the Alexandria database
Functional: GGA-PBE
Structure: relaxed

Results
Its density is 6240 kg/m³. The calculation puts the formation energy at -0.71 eV/atom. The value obtained for the energy is -7.0860 eV per atom. The density of states at the Fermi level is 1.043 states/eV/atom.

POSCAR file:
```
Y5SnRh2
1.0
-5.9976 -4.8842 0.9185
3.3622 -5.0478 -4.8874
4.4875 2.0501 7.1766
Y Rh Sn
10 4 2
Direct
0.4784 0.2954 0.2738 Y
0.9784 0.4784 0.2738 Y
0.2046 0.0216 0.7262 Y
0.0000 0.0000 0.0000 Y
0.7046 0.2046 0.7262 Y
0.0216 0.5216 0.7262 Y
0.5216 0.7046 0.7262 Y
0.7954 0.9784 0.2738 Y
0.5000 0.5000 0.0000 Y
0.2954 0.7954 0.2738 Y
0.1383 0.3617 0.0000 Rh
0.8617 0.6383 0.0000 Rh
0.3617 0.8617 0.0000 Rh
0.6383 0.1383 0.0000 Rh
0.7500 0.7500 0.5000 Sn
0.2500 0.2500 0.5000 Sn
```

(7)
Compound: YSn4Rh2
Source: the Alexandria database
Functional: GGA-PBE
Structure: relaxed

Results
Its density is 8537 kg/m³. The calculation puts the formation energy at -0.61 eV/atom. The value obtained for the energy is -5.9175 eV per atom. The density of states at the Fermi level is 0.356 states/eV/atom.

POSCAR file:
```
YSn4Rh2
1.0
-3.4900 -1.8959 2.0141
-1.8564 -3.2360 -6.2628
10.4484 -14.5418 4.4168
Y Sn Rh
4 16 8
Direct
0.2500 0.0078 0.3573 Y
0.7500 0.9922 0.6427 Y
0.7500 0.5078 0.1427 Y
0.2500 0.4922 0.8573 Y
0.7500 0.3053 0.3182 Sn
0.2500 0.3701 0.0335 Sn
0.7500 0.8701 0.4665 Sn
0.7500 0.7711 0.8061 Sn
0.2500 0.8053 0.1818 Sn
0.7500 0.7289 0.3061 Sn
0.2500 0.2289 0.1939 Sn
0.7500 0.5220 0.5669 Sn
0.2500 0.6947 0.6818 Sn
0.2500 0.4780 0.4331 Sn
0.2500 0.2711 0.6939 Sn
0.7500 0.1947 0.8182 Sn
0.7500 0.9780 0.0669 Sn
0.2500 0.1299 0.5335 Sn
0.2500 0.0220 0.9331 Sn
0.7500 0.6299 0.9665 Sn
0.7500 0.4771 0.7146 Rh
0.2500 0.9771 0.7854 Rh
0.7500 0.2511 0.9653 Rh
0.7500 0.0229 0.2146 Rh
0.2500 0.7511 0.5347 Rh
0.7500 0.2489 0.4653 Rh
0.2500 0.5229 0.2854 Rh
0.2500 0.7489 0.0347 Rh
```

(8)
Compound: YSnRh4
Source: the Alexandria database
Functional: GGA-PBE
Structure: relaxed

Results
Its density is 9809 kg/m³. The calculation puts the formation energy at -0.48 eV/atom. The value obtained for the energy is -7.1287 eV per atom. The density of states at the Fermi level is 0.817 states/eV/atom.

POSCAR file:
```
YSnRh4
1.0
-1.8429 3.1236 -3.8546
0.4319 -1.5015 -5.0567
-4.3151 -1.4159 -2.7178
Rh Sn Y
4 1 1
Direct
0.1223 0.6259 0.6259 Rh
0.6259 0.1223 0.6259 Rh
0.6259 0.6259 0.1223 Rh
0.6259 0.6259 0.6259 Rh
0.0000 0.0000 0.0000 Sn
0.2500 0.2500 0.2500 Y
```

(9)
Compound: Y2SnRh3
Source: the Alexandria database
Functional: GGA-PBE
Structure: relaxed

Results
Its density is 7644 kg/m³. The calculation puts the formation energy at -0.54 eV/atom. The value obtained for the energy is -7.0393 eV per atom. The density of states at the Fermi level is 0.440 states/eV/atom.

POSCAR file:
```
Y2SnRh3
1.0
4.4128 -0.3764 -2.2678
-0.3693 3.6972 -1.3322
-1.9272 0.8792 8.8220
Y Rh Sn
2 3 1
Direct
0.2493 0.3561 0.7123 Y
0.7507 0.6439 0.2877 Y
0.7075 0.8082 0.6165 Rh
0.2925 0.1918 0.3835 Rh
0.5000 0.0000 0.0000 Rh
0.0000 0.0000 0.0000 Sn
```

(10)
Compound: Y2Sn2Rh
Source: the Alexandria database
Functional: GGA-PBE
Structure: relaxed

Results
Its density is 6486 kg/m³. The calculation puts the formation energy at -0.65 eV/atom. The value obtained for the energy is -6.3082 eV per atom. The density of states at the Fermi level is 0.789 states/eV/atom.

POSCAR file:
```
Y2Sn2Rh
1.0
6.2134 0.0000 0.0000
0.0000 6.6605 0.0000
-3.1067 -3.3302 6.4104
Y Sn Rh
4 4 2
Direct
0.3781 0.0824 0.7563 Y
0.1219 0.3262 0.2437 Y
0.8781 0.6738 0.7563 Y
0.6219 0.9176 0.2437 Y
0.6307 0.4087 0.2615 Sn
0.1307 0.8528 0.2615 Sn
0.3693 0.5913 0.7385 Sn
0.8693 0.1472 0.7385 Sn
0.2500 0.5000 0.0000 Rh
0.7500 0.5000 0.0000 Rh
```

(11)
Compound: Y3SnRh4
Source: the Alexandria database
Functional: GGA-PBE
Structure: relaxed

Results
Its density is 8529 kg/m³. The calculation puts the formation energy at -0.79 eV/atom. The value obtained for the energy is -7.3917 eV per atom. The density of states at the Fermi level is 0.810 states/eV/atom.

POSCAR file:
```
Y3SnRh4
1.0
4.5886 0.0000 1.3545
2.0944 4.0828 1.3545
0.0440 0.0269 8.3006
Rh Y Sn
4 3 1
Direct
0.6248 0.6248 0.1255 Rh
0.1228 0.1228 0.6317 Rh
0.3752 0.3752 0.8745 Rh
0.8772 0.8772 0.3683 Rh
0.7459 0.7459 0.7622 Y
0.5000 0.5000 0.5000 Y
0.2541 0.2541 0.2378 Y
0.0000 0.0000 0.0000 Sn
```

(12)
Compound: Y3Sn3Rh2
Source: the Alexandria database
Functional: GGA-PBE
Structure: relaxed

Results
Its density is 7340 kg/m³. The calculation puts the formation energy at -0.82 eV/atom. The value obtained for the energy is -6.5815 eV per atom. The density of states at the Fermi level is 0.776 states/eV/atom.

POSCAR file:
```
Y3Sn3Rh2
1.0
5.8491 0.0000 0.0000
0.0000 8.4803 0.0000
0.0000 0.0000 15.1173
Rh Y Sn
8 12 12
Direct
0.1315 0.9148 0.6099 Rh
0.8685 0.0852 0.1099 Rh
0.3685 0.4148 0.8901 Rh
0.8685 0.0852 0.3901 Rh
0.1315 0.9148 0.8901 Rh
0.6315 0.5852 0.1099 Rh
0.6315 0.5852 0.3901 Rh
0.3685 0.4148 0.6099 Rh
0.8647 0.8272 0.2500 Y
0.3851 0.9689 0.3877 Y
0.3647 0.6728 0.7500 Y
0.6353 0.3272 0.2500 Y
0.1353 0.1728 0.7500 Y
0.6149 0.0311 0.8877 Y
0.8851 0.5311 0.8877 Y
0.1149 0.4689 0.1123 Y
0.1149 0.4689 0.3877 Y
0.6149 0.0311 0.6123 Y
0.3851 0.9689 0.1123 Y
0.8851 0.5311 0.6123 Y
0.1110 0.1934 0.9653 Sn
0.3890 0.6934 0.9653 Sn
0.6110 0.3066 0.0347 Sn
0.3890 0.6934 0.5347 Sn
0.8742 0.8181 0.7500 Sn
0.1110 0.1934 0.5347 Sn
0.3742 0.6819 0.2500 Sn
0.1258 0.1819 0.2500 Sn
0.6258 0.3181 0.7500 Sn
0.8890 0.8066 0.4653 Sn
0.8890 0.8066 0.0347 Sn
0.6110 0.3066 0.4653 Sn
```

(13)
Compound: Y2SnRh3
Source: the Alexandria database
Functional: GGA-PBE
Structure: relaxed

Results
Its density is 8059 kg/m³. The calculation puts the formation energy at -0.51 eV/atom. The value obtained for the energy is -7.0075 eV per atom. The density of states at the Fermi level is 0.571 states/eV/atom.

POSCAR file:
```
Y2SnRh3
1.0
-4.4862 -0.6193 1.0715
1.4197 -1.6126 5.0121
1.2668 5.7642 -1.4709
Rh Sn Y
3 1 2
Direct
0.3579 0.3579 0.7158 Rh
0.6421 0.6421 0.2842 Rh
0.0000 0.0000 0.0000 Rh
0.0000 0.5000 0.0000 Sn
0.3200 0.8200 0.6399 Y
0.6800 0.1800 0.3601 Y
```

(14)
Compound: Y2SnRh4
Source: the Alexandria database
Functional: GGA-PBE
Structure: relaxed

Results
Its density is 7307 kg/m³. The calculation puts the formation energy at 0.03 eV/atom. The value obtained for the energy is -6.5871 eV per atom. The density of states at the Fermi level is 0.551 states/eV/atom.

POSCAR file:
```
Y2SnRh4
1.0
4.8231 0.0000 0.0000
0.0000 4.8231 0.0000
2.4115 2.4115 6.9185
Sn Rh Y
1 4 2
Direct
0.0000 0.0000 0.0000 Sn
0.0000 0.5000 0.0000 Rh
0.1837 0.1837 0.6325 Rh
0.8163 0.8163 0.3675 Rh
0.5000 0.0000 0.0000 Rh
0.3666 0.3666 0.2669 Y
0.6334 0.6334 0.7331 Y
```

(15)
Compound: YSn2Rh5
Source: the Alexandria database
Functional: GGA-PBE
Structure: relaxed

Results
Its density is 9410 kg/m³. The calculation puts the formation energy at -0.43 eV/atom. The value obtained for the energy is -6.8291 eV per atom. The density of states at the Fermi level is 1.101 states/eV/atom.

POSCAR file:
```
YSn2Rh5
1.0
4.1000 0.0000 0.0000
2.0500 6.5770 1.5907
2.0500 2.7720 6.1728
Rh Sn Y
5 2 1
Direct
0.6154 0.1545 0.6146 Rh
0.3846 0.8455 0.3854 Rh
0.0000 0.5000 0.5000 Rh
0.3846 0.3854 0.8455 Rh
0.6154 0.6146 0.1545 Rh
0.7834 0.7166 0.7166 Sn
0.2166 0.2834 0.2834 Sn
0.0000 0.0000 0.0000 Y
```

(16)
Compound: Y3Sn2Rh
Source: the Alexandria database
Functional: GGA-PBE
Structure: relaxed

Results
Its density is 6397 kg/m³. The calculation puts the formation energy at -0.82 eV/atom. The value obtained for the energy is -6.6133 eV per atom. The density of states at the Fermi level is 0.509 states/eV/atom.

POSCAR file:
```
Y3Sn2Rh
1.0
-3.9787 1.7814 -0.5361
-1.4801 -6.2285 -9.7115
-4.9840 -9.1389 6.6208
Y Rh Sn
12 4 8
Direct
0.2500 0.7915 0.7389 Y
0.7500 0.2085 0.2611 Y
0.7500 0.5480 0.6217 Y
0.2500 0.1303 0.5520 Y
0.7500 0.8697 0.4480 Y
0.7500 0.6303 0.9480 Y
0.2500 0.4520 0.3783 Y
0.2500 0.3697 0.0520 Y
0.7500 0.2915 0.7611 Y
0.2500 0.0480 0.8783 Y
0.7500 0.9520 0.1217 Y
0.2500 0.7085 0.2389 Y
0.2500 0.3698 0.6270 Rh
0.2500 0.1302 0.1270 Rh
0.7500 0.8698 0.8730 Rh
0.7500 0.6302 0.3730 Rh
0.2500 0.6905 0.5015 Sn
0.2500 0.5006 0.8129 Sn
0.7500 0.0006 0.6871 Sn
0.7500 0.3095 0.4985 Sn
0.2500 0.8095 0.0015 Sn
0.7500 0.1905 0.9985 Sn
0.2500 0.9994 0.3129 Sn
0.7500 0.4994 0.1871 Sn
```

(17)
Compound: Y2Sn2Rh
Source: the Alexandria database
Functional: GGA-PBE
Structure: relaxed

Results
Its density is 7180 kg/m³. The calculation puts the formation energy at -0.73 eV/atom. The value obtained for the energy is -6.3883 eV per atom. The density of states at the Fermi level is 0.802 states/eV/atom.

POSCAR file:
```
Y2Sn2Rh
1.0
7.1189 0.0000 0.0000
0.0000 7.1189 0.0000
0.0000 0.0000 4.7293
Rh Y Sn
2 4 4
Direct
0.0000 0.0000 0.0000 Rh
0.5000 0.5000 0.0000 Rh
0.3308 0.1692 0.5000 Y
0.6692 0.8308 0.5000 Y
0.8308 0.3308 0.5000 Y
0.1692 0.6692 0.5000 Y
0.6443 0.1443 0.0000 Sn
0.8557 0.6443 0.0000 Sn
0.3557 0.8557 0.0000 Sn
0.1443 0.3557 0.0000 Sn
```

(18)
Compound: Y3SnRh8
Source: the Alexandria database
Functional: GGA-PBE
Structure: relaxed

Results
Its density is 9400 kg/m³. The calculation puts the formation energy at -0.61 eV/atom. The value obtained for the energy is -7.4642 eV per atom. The density of states at the Fermi level is 0.738 states/eV/atom.

POSCAR file:
```
Y3SnRh8
1.0
-1.0164 3.4189 -3.9374
-5.0171 0.9389 -1.4739
-2.4907 7.9763 3.9846
Sn Rh Y
1 8 3
Direct
0.1267 0.1267 0.6199 Sn
0.5608 0.0631 0.3131 Rh
0.0617 0.5628 0.8127 Rh
0.5628 0.0617 0.8127 Rh
0.8119 0.8119 0.5642 Rh
0.0631 0.0631 0.3131 Rh
0.5628 0.5628 0.8127 Rh
0.3124 0.3124 0.0629 Rh
0.0631 0.5608 0.3131 Rh
0.6242 0.6242 0.1274 Y
0.4964 0.4964 0.5109 Y
0.0043 0.0043 0.9871 Y
```

(19)
Compound: YSnRh2
Source: the Alexandria database
Functional: GGA-PBE
Structure: relaxed

Results
Its density is 9273 kg/m³. The calculation puts the formation energy at -0.75 eV/atom. The value obtained for the energy is -7.0431 eV per atom. The density of states at the Fermi level is 0.759 states/eV/atom.

POSCAR file:
```
YSnRh2
1.0
-1.3924 -2.8737 -1.5747
2.5922 -2.6893 2.6156
-3.3006 -0.1235 3.1440
Y Rh Sn
1 2 1
Direct
0.5000 0.0000 0.0000 Y
0.0000 0.0000 0.5000 Rh
0.0000 0.5000 0.0000 Rh
0.5000 0.5000 0.5000 Sn
```

(20)
Compound: Y3SnRh
Source: the Alexandria database
Functional: GGA-PBE
Structure: relaxed

Results
Its density is 5426 kg/m³. The calculation puts the formation energy at -0.46 eV/atom. The value obtained for the energy is -6.6071 eV per atom. The density of states at the Fermi level is 1.391 states/eV/atom.

POSCAR file:
```
Y3SnRh
1.0
5.3068 0.0000 0.0000
0.0000 5.3068 0.0000
0.0000 0.0000 5.3068
Sn Y Rh
1 3 1
Direct
0.5000 0.5000 0.5000 Sn
0.5000 0.0000 0.0000 Y
0.0000 0.0000 0.5000 Y
0.0000 0.5000 0.0000 Y
0.0000 0.0000 0.0000 Rh
```